[1]
LaAsRh at its PBEsol-relaxed geometry, computed with SCAN.

Results
- crystal system = cubic
- formation enthalpy at 0 K (eV/atom) = -0.926
- density (g/cm3) = 7.8

Cell lengths 4.5625, 4.5625, 4.5625 Å; angles 60.00, 60.00, 60.00 degrees
Closest atoms and distances in Å follow each position.
Sites, in units of the cell vectors:
As (0.0000, 0.0000, 0.0000)  4 Rh 2.79
Rh (0.2500, 0.2500, 0.2500)  4 La 2.79, 4 As 2.79
La (0.5000, 0.5000, 0.5000)  4 Rh 2.79

[2]
LaAsRh at its PBEsol-relaxed geometry, computed with SCAN.

Results
- crystal system = cubic
- formation enthalpy at 0 K (eV/atom) = -0.094
- density (g/cm3) = 7.0

Cell lengths 4.7295, 4.7295, 4.7295 Å; angles 60.00, 60.00, 60.00 degrees
Closest atoms and distances in Å follow each position.
Sites, in units of the cell vectors:
As (0.5000, 0.5000, 0.5000)  4 La 2.90
Rh (0.0000, 0.0000, 0.0000)  4 La 2.90
La (0.2500, 0.2500, 0.2500)  4 Rh 2.90, 4 As 2.90

[3]
LaAsRh at its PBEsol-relaxed geometry, computed with SCAN.

Results
- crystal system = tetragonal
- formation enthalpy at 0 K (eV/atom) = -1.312
- density (g/cm3) = 8.2

Cell lengths 4.1511, 4.1511, 7.9912 Å; angles 105.05, 105.05, 90.00 degrees
Closest atoms and distances in Å follow each position.
Sites, in units of the cell vectors:
As (0.9198, 0.4198, 0.8396)  3 Rh 2.43-2.45
As (0.6698, 0.6698, 0.3396)  3 Rh 2.43-2.45
Rh (0.0843, 0.5843, 0.1687)  3 As 2.43-2.45
Rh (0.8343, 0.8343, 0.6687)  3 As 2.43-2.45
La (0.5001, 0.0001, 0.0001)  6 As 3.17-3.27, 6 Rh 3.19-3.22
La (0.2501, 0.2501, 0.5002)  6 As 3.17-3.27, 6 Rh 3.19-3.22

[4]
LaAsRh2 at its PBEsol-relaxed geometry, computed with SCAN.

Results
- crystal system = orthorhombic
- formation enthalpy at 0 K (eV/atom) = -0.582
- density (g/cm3) = 9.5

Cell lengths 4.2611, 4.7164, 4.7164 Å; angles 67.33, 63.15, 63.15 degrees
Closest atoms and distances in Å follow each position.
Sites, in units of the cell vectors:
As (0.5000, 0.0000, 0.0000)  4 Rh 2.54
Rh (0.2100, 0.7900, 0.7900)  2 As 2.54, 1 Rh 2.77
Rh (0.7900, 0.2100, 0.2100)  2 As 2.54, 1 Rh 2.77
La (0.0000, 0.5000, 0.5000)  8 Rh 2.86-2.96

[5]
LaAs2Rh2 at its PBEsol-relaxed geometry, computed with SCAN.

Results
- crystal system = tetragonal
- formation enthalpy at 0 K (eV/atom) = -1.139
- density (g/cm3) = 9.1

Cell lengths 4.2734, 4.2734, 9.9062 Å; angles 90.00, 90.00, 90.00 degrees
Closest atoms and distances in Å follow each position.
Sites, in units of the cell vectors:
As (0.5000, 0.0000, 0.6356)  5 Rh 2.43-2.52
As (0.0000, 0.5000, 0.3644)  5 Rh 2.43-2.52
As (0.0000, 0.0000, 0.0000)  4 Rh 2.44
As (0.5000, 0.5000, 0.0000)  4 Rh 2.44
Rh (0.5000, 0.0000, 0.8808)  5 As 2.43-2.44
Rh (0.0000, 0.5000, 0.1192)  5 As 2.43-2.44
Rh (0.0000, 0.0000, 0.5000)  4 As 2.52
Rh (0.5000, 0.5000, 0.5000)  4 As 2.52
La (0.0000, 0.5000, 0.7547)  8 As 3.24, 9 Rh 3.27-3.61
La (0.5000, 0.0000, 0.2453)  8 As 3.24, 9 Rh 3.27-3.61

[6]
LaAsRh at its PBEsol-relaxed geometry, computed with SCAN.

Results
- crystal system = tetragonal
- formation enthalpy at 0 K (eV/atom) = -0.719
- density (g/cm3) = 8.9

Cell lengths 3.2972, 3.2972, 5.9347 Å; angles 106.13, 106.13, 90.00 degrees
Closest atoms and distances in Å follow each position.
Sites, in units of the cell vectors:
As (0.9624, 0.9624, 0.9249)  4 Rh 2.55
Rh (0.3675, 0.3675, 0.7349)  4 As 2.55
La (0.6701, 0.6701, 0.3402)  5 Rh 3.17-3.30, 5 As 3.19-3.25, 4 La 3.30

[7]
LaAsRh2 at its PBEsol-relaxed geometry, computed with SCAN.

Results
- crystal system = tetragonal
- formation enthalpy at 0 K (eV/atom) = -0.906
- density (g/cm3) = 8.9

Cell lengths 4.0917, 4.0941, 4.6995 Å; angles 90.00, 90.03, 90.00 degrees
Closest atoms and distances in Å follow each position.
Sites, in units of the cell vectors:
As (0.6251, 0.0000, 0.4312)  4 Rh 2.38
Rh (0.1250, 0.0000, 0.1712)  2 As 2.38
Rh (0.6250, 0.5000, 0.1712)  2 As 2.38
La (0.1249, 0.5000, 0.7264)  4 Rh 2.92-2.93, 4 As 3.21

[8]
LaAsRu at its PBEsol-relaxed geometry, computed with SCAN.

Results
- crystal system = cubic
- formation enthalpy at 0 K (eV/atom) = -0.311
- density (g/cm3) = 7.6

Cell lengths 4.5953, 4.5953, 4.5953 Å; angles 60.00, 60.00, 60.00 degrees
Closest atoms and distances in Å follow each position.
Sites, in units of the cell vectors:
Ru (0.5000, 0.5000, 0.5000)  4 As 2.81
As (0.2500, 0.2500, 0.2500)  4 La 2.81, 4 Ru 2.81
La (0.0000, 0.0000, 0.0000)  4 As 2.81

[9]
LaAsRu at its PBEsol-relaxed geometry, computed with SCAN.

Results
- crystal system = hexagonal
- formation enthalpy at 0 K (eV/atom) = -0.837
- density (g/cm3) = 8.1

Cell lengths 4.2097, 4.2097, 4.1947 Å; angles 90.00, 90.00, 120.00 degrees
Closest atoms and distances in Å follow each position.
Sites, in units of the cell vectors:
Ru (0.6667, 0.3333, 0.1663)  3 As 2.43
As (0.0000, 0.0000, 0.1669)  3 Ru 2.43
La (0.3333, 0.6667, 0.6668)  6 Ru 3.21, 6 As 3.21

[10]
LaAsRu at its PBEsol-relaxed geometry, computed with SCAN.

Results
- crystal system = cubic
- formation enthalpy at 0 K (eV/atom) = 0.454
- density (g/cm3) = 7.2

Cell lengths 4.6849, 4.6849, 4.6849 Å; angles 60.00, 60.00, 60.00 degrees
Closest atoms and distances in Å follow each position.
Sites, in units of the cell vectors:
Ru (0.0000, 0.0000, 0.0000)  4 La 2.87
As (0.5000, 0.5000, 0.5000)  4 La 2.87
La (0.2500, 0.2500, 0.2500)  4 As 2.87, 4 Ru 2.87

[11]
LaAs4Ru at its PBEsol-relaxed geometry, computed with SCAN.

Results
- crystal system = cubic
- formation enthalpy at 0 K (eV/atom) = 0.089
- density (g/cm3) = 7.6

Cell lengths 5.5062, 5.5062, 5.5062 Å; angles 60.00, 60.00, 60.00 degrees
Closest atoms and distances in Å follow each position.
Sites, in units of the cell vectors:
Ru (0.0000, 0.0000, 0.0000)  12 As 3.22, 4 La 3.37
As (0.3731, 0.3731, 0.3731)  6 As 2.71-2.80
As (0.3731, 0.3731, 0.8807)  6 As 2.71-2.80
As (0.8807, 0.3731, 0.3731)  6 As 2.71-2.80
As (0.3731, 0.8807, 0.3731)  6 As 2.71-2.80
La (0.7500, 0.7500, 0.7500)  12 As 3.23, 4 Ru 3.37

[12]
LaAs2Ru2 at its PBEsol-relaxed geometry, computed with SCAN.

Results
- crystal system = tetragonal
- formation enthalpy at 0 K (eV/atom) = -0.917
- density (g/cm3) = 8.9

Cell lengths 4.1722, 4.1722, 6.0167 Å; angles 110.29, 110.29, 90.00 degrees
Closest atoms and distances in Å follow each position.
Sites, in units of the cell vectors:
Ru (0.2500, 0.7500, 0.5000)  4 As 2.42
Ru (0.7500, 0.2500, 0.5000)  4 As 2.42
As (0.6328, 0.6328, 0.2656)  4 Ru 2.42
As (0.3672, 0.3672, 0.7344)  4 Ru 2.42
La (0.0000, 0.0000, 0.0000)  8 As 3.26, 8 Ru 3.35

Number 1: DFT total energy -99.84 eV/cell. Number 2: DFT total energy -97.35 eV/cell. Number 3: DFT total energy -202.01 eV/cell. Number 4: DFT total energy -133.17 eV/cell. Number 5: DFT total energy -313.45 eV/cell. Number 6: DFT total energy -99.22 eV/cell. Number 7: DFT total energy -134.46 eV/cell. Number 8: DFT total energy -99.05 eV/cell. Number 9: DFT total energy -100.63 eV/cell. Number 10: DFT total energy -96.76 eV/cell. Number 11: DFT total energy -158.16 eV/cell. Number 12: DFT total energy -157.73 eV/cell.